First-principles (PBE with a Hubbard U) data for a relaxed Be3FeO crystal, as listed in the Alexandria database.

## Properties
Distance to the lowest polymorph of the same formula, meV per atom: 0
Energy, eV/atom: -4.29
DOS at the Fermi energy, states/eV per atom: 0.000
SG: Pm-3m, No. 221

abc: 3.474 3.474 3.474
angles: 90.00 90.00 90.00
Atoms (fractional coordinates):
1 Be 0.000 0.000 0.500
2 Be 0.000 0.500 0.000
3 Be 0.500 0.000 0.000
4 Fe 0.500 0.500 0.500
5 O 0.000 0.000 0.000